Record 1
BeFeOs2: relaxed, PBE-GGA.

Lattice parameters (Å, degrees): 2.827 2.826 5.941 90.00 90.00 90.00
Each line ends with the local moment (μB).
Element x y z (fractional)
Os 0.000 0.000 0.019  -0.09
Os 0.000 0.000 0.481  -0.09
Fe 0.500 0.500 0.750  1.88
Be 0.500 0.500 0.250  0.01

- SG: No. 123
- Calculated total energy: -34.645 eV per cell
- Energy relative to the elements: 0.001 eV per atom
- Volume: 11.9 Å³/atom
- Spin magnetization: 1.71 Bohr magnetons per cell

Record 2
Be2FeOs: relaxed, PBE-GGA.

Lattice parameters (Å, degrees): 2.545 2.545 7.284 90.00 90.00 111.83
Each line ends with the local moment (μB).
Element x y z (fractional)
Be 0.000 0.000 0.490  -0.04
Be 0.000 0.000 0.010  -0.04
Os 0.500 0.500 0.750  -0.04
Fe 0.500 0.500 0.250  1.79

- Energy relative to the lowest polymorph listed for this composition: 0.254 eV per atom
- SG: No. 65
- Calculated total energy: -26.783 eV per cell
- Energy relative to the elements: 0.090 eV per atom
- Volume: 10.9 Å³/atom
- Spin magnetization: 1.56 Bohr magnetons per cell

Record 3
Be2FeOs: relaxed, PBE-GGA.

Lattice parameters (Å, degrees): 3.876 3.876 3.876 60.00 60.00 60.00
Each line ends with the local moment (μB).
Element x y z (fractional)
Fe 0.000 0.000 0.000  2.22
Be 0.750 0.750 0.750  -0.04
Be 0.250 0.250 0.250  -0.04
Os 0.500 0.500 0.500  0.40

- Energy relative to the lowest polymorph listed for this composition: 0.057 eV per atom
- SG: No. 225
- Calculated total energy: -27.569 eV per cell
- Energy relative to the elements: -0.106 eV per atom
- Volume: 10.3 Å³/atom
- Spin magnetization: 2.60 Bohr magnetons per cell

Record 4
BeFeOs2: relaxed, PBE-GGA.

Lattice parameters (Å, degrees): 2.731 2.731 6.263 90.00 90.00 90.00
Each line ends with the local moment (μB).
Element x y z (fractional)
Os 0.500 0.500 0.285  0.05
Fe 0.500 0.500 0.715  0.46
Os 0.000 0.000 0.982  -0.04
Be 0.000 0.000 0.519  -0.01

- SG: No. 99
- Calculated total energy: -34.686 eV per cell
- Energy relative to the elements: -0.009 eV per atom
- Volume: 11.7 Å³/atom
- Spin magnetization: 0.47 Bohr magnetons per cell

Record 5
BeFeOs2: relaxed, PBE-GGA.

Lattice parameters (Å, degrees): 8.243 8.243 8.243 18.68 18.68 18.68
Each line ends with the local moment (μB).
Element x y z (fractional)
Os 0.997 0.997 0.997  0.01
Os 0.503 0.503 0.503  0.01
Be 0.250 0.250 0.250  0.01
Fe 0.750 0.750 0.750  2.27

- SG: No. 166
- Calculated total energy: -34.213 eV per cell
- Energy relative to the elements: 0.109 eV per atom
- Volume: 12.5 Å³/atom
- Spin magnetization: 2.33 Bohr magnetons per cell

Record 6
BeFe2Os2: relaxed, PBE-GGA.

Lattice parameters (Å, degrees): 5.608 5.608 5.608 140.66 140.66 56.86
Element x y z (fractional)
Os 0.750 0.250 0.500
Fe 0.400 0.400 0.000
Os 0.250 0.750 0.500
Fe 0.600 0.600 0.000
Be 0.000 0.000 0.000

- SG: No. 139
- Calculated total energy: -39.492 eV per cell
- Energy relative to the elements: 0.724 eV per atom
- Volume: 14.1 Å³/atom
- Spin magnetization: 0.00 Bohr magnetons per cell

Record 7
Be4FeOs: relaxed, PBE-GGA.

Lattice parameters (Å, degrees): 4.262 4.262 4.262 60.00 60.00 60.00
Each line ends with the local moment (μB).
Element x y z (fractional)
Be 0.625 0.125 0.625  -0.02
Os 0.000 0.000 0.000  0.39
Be 0.625 0.625 0.625  -0.02
Be 0.125 0.625 0.625  -0.02
Be 0.625 0.625 0.125  -0.02
Fe 0.250 0.250 0.250  1.94

- SG: No. 216
- Calculated total energy: -36.425 eV per cell
- Energy relative to the elements: -0.305 eV per atom
- Volume: 9.1 Å³/atom
- Spin magnetization: 2.23 Bohr magnetons per cell

Record 8
Be2FeOs: relaxed, PBE-GGA.

Lattice parameters (Å, degrees): 2.707 2.707 5.507 90.00 90.00 90.00
Element x y z (fractional)
Be 0.500 0.500 0.234
Be 0.000 0.000 0.036
Fe 0.000 0.000 0.470
Os 0.500 0.500 0.760

- Energy relative to the lowest polymorph listed for this composition: 0.000 eV per atom
- SG: No. 99
- Calculated total energy: -27.798 eV per cell
- Energy relative to the elements: -0.163 eV per atom
- Volume: 10.1 Å³/atom
- Spin magnetization: 0.00 Bohr magnetons per cell

Record 9
BeFeOs3: relaxed, PBE-GGA.

Lattice parameters (Å, degrees): 4.036 4.036 4.036 90.00 90.00 90.00
Element x y z (fractional)
Be 0.000 0.000 0.000
Os 0.000 0.000 0.500
Fe 0.500 0.500 0.500
Os 0.500 0.000 0.000
Os 0.000 0.500 0.000

- Energy relative to the lowest polymorph listed for this composition: 0.000 eV per atom
- SG: No. 221
- Calculated total energy: -41.434 eV per cell
- Energy relative to the elements: 0.889 eV per atom
- Volume: 13.1 Å³/atom
- Spin magnetization: 0.00 Bohr magnetons per cell

Record 10
PaBeFeOs: relaxed, PBE-GGA.

Lattice parameters (Å, degrees): 4.437 4.437 4.437 60.00 60.00 60.00
Element x y z (fractional)
Pa 0.000 0.000 0.000
Fe 0.250 0.250 0.250
Os 0.750 0.750 0.750
Be 0.500 0.500 0.500

- SG: No. 216
- Calculated total energy: -32.669 eV per cell
- Energy relative to the elements: 0.061 eV per atom
- Volume: 15.4 Å³/atom
- Spin magnetization: 0.00 Bohr magnetons per cell

Record 11
Be2FeOsPt: relaxed, PBE-GGA.

Lattice parameters (Å, degrees): 4.103 4.915 4.103 90.00 90.00 90.00
Each line ends with the local moment (μB).
Element x y z (fractional)
Be 0.000 0.000 0.500  -0.03
Fe 0.500 0.500 0.500  3.20
Pt 0.000 0.000 0.000  -0.02
Be 0.500 0.000 0.000  -0.01
Os 0.000 0.500 0.000  0.36

- SG: No. 123
- Calculated total energy: -27.733 eV per cell
- Energy relative to the elements: 1.091 eV per atom
- Volume: 16.5 Å³/atom
- Spin magnetization: 3.49 Bohr magnetons per cell

Record 12
Rb2BeFeOs: relaxed, PBE-GGA.

Lattice parameters (Å, degrees): 6.312 4.271 6.312 90.00 90.00 90.00
Each line ends with the local moment (μB).
Element x y z (fractional)
Os 0.500 0.500 0.500  2.59
Fe 0.000 0.500 0.000  2.77
Rb 0.000 0.000 0.500  -0.01
Rb 0.500 0.000 0.000  -0.01
Be 0.000 0.000 0.000  -0.10

- SG: No. 123
- Calculated total energy: -15.384 eV per cell
- Energy relative to the elements: 1.994 eV per atom
- Volume: 34.0 Å³/atom
- Spin magnetization: 5.56 Bohr magnetons per cell

Record 13
BeFeOs2Ru: relaxed, PBE-GGA.

Lattice parameters (Å, degrees): 4.046 3.999 4.046 90.00 90.00 90.00
Element x y z (fractional)
Os 0.500 0.000 0.000
Fe 0.500 0.500 0.500
Be 0.000 0.000 0.000
Os 0.000 0.000 0.500
Ru 0.000 0.500 0.000

- SG: No. 123
- Calculated total energy: -39.759 eV per cell
- Energy relative to the elements: 0.833 eV per atom
- Volume: 13.1 Å³/atom
- Spin magnetization: 0.00 Bohr magnetons per cell

Record 14
BeFeOsW: relaxed, PBE-GGA.

Lattice parameters (Å, degrees): 4.158 4.158 4.158 60.00 60.00 60.00
Element x y z (fractional)
Fe 0.250 0.250 0.250
W 0.000 0.000 0.000
Be 0.500 0.500 0.500
Os 0.750 0.750 0.750

- SG: No. 216
- Calculated total energy: -36.639 eV per cell
- Energy relative to the elements: -0.067 eV per atom
- Volume: 12.7 Å³/atom
- Spin magnetization: 0.00 Bohr magnetons per cell

Record 15
ZrBeFe2Os: relaxed, PBE-GGA.

Lattice parameters (Å, degrees): 4.403 4.364 4.403 90.00 90.00 90.00
Each line ends with the local moment (μB).
Element x y z (fractional)
Be 0.000 0.500 0.000  0.03
Zr 0.000 0.000 0.000  -0.27
Fe 0.500 0.000 0.000  2.15
Fe 0.000 0.000 0.500  1.86
Os 0.500 0.500 0.500  1.26

- SG: No. 123
- Calculated total energy: -30.183 eV per cell
- Energy relative to the elements: 2.049 eV per atom
- Volume: 16.9 Å³/atom
- Spin magnetization: 5.10 Bohr magnetons per cell

Record 16
Be2Fe2P: relaxed, PBE-GGA.

Lattice parameters (Å, degrees): 5.519 5.519 3.078 90.00 90.00 90.00
Each line ends with the local moment (μB).
Element x y z (fractional)
Fe 0.826 0.326 0.500  1.55
Be 0.874 0.626 0.000  -0.06
Be 0.374 0.874 0.000  -0.06
Be 0.626 0.126 0.000  -0.06
Fe 0.326 0.174 0.500  1.54
Fe 0.674 0.826 0.500  1.54
Fe 0.174 0.674 0.500  1.55
P 0.500 0.500 0.000  0.04
Be 0.126 0.374 0.000  -0.06
P 0.000 0.000 0.000  0.04

- Energy relative to the lowest polymorph listed for this composition: 0.050 eV per atom
- SG: No. 127
- Calculated total energy: -60.937 eV per cell
- Energy relative to the elements: -0.136 eV per atom
- Volume: 9.4 Å³/atom
- Spin magnetization: 5.82 Bohr magnetons per cell

Record 17
Be2FeP: relaxed, PBE-GGA.

Lattice parameters (Å, degrees): 2.429 2.429 7.158 90.00 90.00 90.00
Each line ends with the local moment (μB).
Element x y z (fractional)
Fe 0.500 0.500 0.250  1.83
Be 0.000 0.000 0.028  -0.05
P 0.500 0.500 0.750  0.02
Be 0.000 0.000 0.472  -0.05

- SG: No. 123
- Calculated total energy: -20.602 eV per cell
- Energy relative to the elements: 0.181 eV per atom
- Volume: 10.6 Å³/atom
- Spin magnetization: 1.66 Bohr magnetons per cell

Record 18
Be2FeP: relaxed, PBE-GGA.

Lattice parameters (Å, degrees): 2.922 2.924 4.421 90.00 90.00 90.00
Element x y z (fractional)
Fe 0.500 0.500 0.250
Be 0.000 0.000 0.493
P 0.500 0.500 0.750
Be 0.000 0.000 0.007

- SG: No. 123
- Calculated total energy: -22.083 eV per cell
- Energy relative to the elements: -0.190 eV per atom
- Volume: 9.4 Å³/atom
- Spin magnetization: 0.00 Bohr magnetons per cell

Record 19
Be2FeP: relaxed, PBE-GGA.

Lattice parameters (Å, degrees): 3.371 3.371 3.240 90.00 90.00 90.00
Each line ends with the local moment (μB).
Element x y z (fractional)
Be 0.000 0.000 0.000  0.00
P 0.000 0.500 0.500  -0.01
Fe 0.500 0.000 0.500  0.41
Be 0.500 0.500 0.000  0.00

- SG: No. 123
- Calculated total energy: -21.971 eV per cell
- Energy relative to the elements: -0.161 eV per atom
- Volume: 9.2 Å³/atom
- Spin magnetization: 0.40 Bohr magnetons per cell

Record 20
Be2FeP: relaxed, PBE-GGA.

Lattice parameters (Å, degrees): 4.219 4.219 3.855 83.76 83.76 34.23
Each line ends with the local moment (μB).
Element x y z (fractional)
Be 0.994 0.994 0.008  -0.01
P 0.750 0.750 0.750  0.01
Fe 0.250 0.250 0.250  0.77
Be 0.506 0.506 0.492  -0.01

- SG: No. 12
- Calculated total energy: -21.340 eV per cell
- Energy relative to the elements: -0.004 eV per atom
- Volume: 9.6 Å³/atom
- Spin magnetization: 0.78 Bohr magnetons per cell

Record 21
Be3FeP: relaxed, PBE-GGA.

Lattice parameters (Å, degrees): 3.948 3.948 3.948 90.00 90.00 90.00
Each line ends with the local moment (μB).
Element x y z (fractional)
Fe 0.000 0.000 0.000  0.81
P 0.500 0.500 0.500  0.11
Be 0.500 0.000 0.000  -0.04
Be 0.000 0.000 0.500  -0.01
Be 0.000 0.500 0.000  -0.04

- Energy relative to the lowest polymorph listed for this composition: 0.076 eV per atom
- SG: No. 221
- Calculated total energy: -20.244 eV per cell
- Energy relative to the elements: 0.961 eV per atom
- Volume: 12.3 Å³/atom
- Spin magnetization: 0.87 Bohr magnetons per cell

Record 22
Be2FeP: relaxed, PBE-GGA.

Lattice parameters (Å, degrees): 3.671 2.523 4.149 90.20 90.00 90.00
Each line ends with the local moment (μB).
Element x y z (fractional)
Fe 0.500 0.250 0.250  0.84
Be 0.000 0.750 0.011  -0.03
P 0.500 0.750 0.750  0.00
Be 0.000 0.750 0.489  -0.03

- SG: No. 10
- Calculated total energy: -21.620 eV per cell
- Energy relative to the elements: -0.074 eV per atom
- Volume: 9.6 Å³/atom
- Spin magnetization: 0.76 Bohr magnetons per cell

Record 23
Be2FeP: relaxed, PBE-GGA.

Lattice parameters (Å, degrees): 4.210 4.210 4.210 134.82 134.82 65.81
Element x y z (fractional)
P 0.750 0.250 0.500
Fe 0.250 0.750 0.500
Be 0.000 0.000 0.000
Be 0.500 0.500 0.000

- SG: No. 139
- Calculated total energy: -22.077 eV per cell
- Energy relative to the elements: -0.188 eV per atom
- Volume: 9.2 Å³/atom
- Spin magnetization: 0.00 Bohr magnetons per cell

Record 24
BeFeP3: relaxed, PBE-GGA.

Lattice parameters (Å, degrees): 4.320 4.320 4.320 90.00 90.00 90.00
Element x y z (fractional)
P 0.000 0.000 0.500
Fe 0.000 0.000 0.000
Be 0.500 0.500 0.500
P 0.500 0.000 0.000
P 0.000 0.500 0.000

- Energy relative to the lowest polymorph listed for this composition: 0.000 eV per atom
- SG: No. 221
- Calculated total energy: -24.213 eV per cell
- Energy relative to the elements: 0.841 eV per atom
- Volume: 16.1 Å³/atom
- Spin magnetization: 0.00 Bohr magnetons per cell

Record 25
Be2Fe2P: relaxed, PBE-GGA.

Lattice parameters (Å, degrees): 5.533 5.533 3.367 90.00 90.00 90.00
Element x y z (fractional)
Fe 0.346 0.846 0.000
P 0.000 0.000 0.000
Fe 0.654 0.154 0.000
Be 0.143 0.643 0.500
Fe 0.846 0.654 0.000
Be 0.357 0.143 0.500
Be 0.857 0.357 0.500
Be 0.643 0.857 0.500
Fe 0.154 0.346 0.000
P 0.500 0.500 0.000

- Energy relative to the lowest polymorph listed for this composition: 0.000 eV per atom
- SG: No. 127
- Calculated total energy: -61.442 eV per cell
- Energy relative to the elements: -0.187 eV per atom
- Volume: 10.3 Å³/atom
- Spin magnetization: 0.00 Bohr magnetons per cell

Record 26
Be3FeP: relaxed, PBE-GGA.

Lattice parameters (Å, degrees): 4.020 4.020 4.020 90.00 90.00 90.00
Each line ends with the local moment (μB).
Element x y z (fractional)
Fe 0.500 0.500 0.500  2.76
Be 0.000 0.000 0.500  -0.07
Be 0.000 0.500 0.000  -0.06
P 0.000 0.000 0.000  0.03
Be 0.500 0.000 0.000  -0.05

- Energy relative to the lowest polymorph listed for this composition: 0.000 eV per atom
- SG: No. 221
- Calculated total energy: -20.623 eV per cell
- Energy relative to the elements: 0.886 eV per atom
- Volume: 13.0 Å³/atom
- Spin magnetization: 2.41 Bohr magnetons per cell

Record 27
BeFeP4: relaxed, PBE-GGA.

Lattice parameters (Å, degrees): 4.897 4.897 4.897 60.00 60.00 60.00
Each line ends with the local moment (μB).
Element x y z (fractional)
P 0.625 0.625 0.625  0.04
Fe 0.000 0.000 0.000  2.92
Be 0.250 0.250 0.250  -0.06
P 0.126 0.625 0.625  0.04
P 0.625 0.126 0.625  0.04
P 0.625 0.625 0.126  0.04

- SG: No. 216
- Calculated total energy: -28.869 eV per cell
- Energy relative to the elements: 0.827 eV per atom
- Volume: 13.8 Å³/atom
- Spin magnetization: 3.04 Bohr magnetons per cell

Record 28
Be2Fe3P2: relaxed, PBE-GGA.

Lattice parameters (Å, degrees): 3.658 3.683 5.982 72.08 107.80 90.01
Element x y z (fractional)
Fe 0.000 0.000 0.000
Be 0.114 0.386 0.228
P 0.629 0.870 0.259
P 0.371 0.130 0.741
Fe 0.238 0.762 0.477
Fe 0.762 0.238 0.523
Be 0.886 0.614 0.772

- SG: No. 71
- Calculated total energy: -45.765 eV per cell
- Energy relative to the elements: -0.301 eV per atom
- Volume: 10.4 Å³/atom
- Spin magnetization: 0.00 Bohr magnetons per cell

Record 29
Be2FeP: relaxed, PBE-GGA.

Lattice parameters (Å, degrees): 2.746 5.085 5.882 98.19 90.07 89.95
Element x y z (fractional)
Fe 0.298 0.419 0.083
Be 0.800 0.206 0.313
Be 0.799 0.065 0.960
Be 0.299 0.565 0.460
P 0.798 0.743 0.212
P 0.298 0.243 0.712
Be 0.300 0.706 0.813
Fe 0.798 0.919 0.583

- SG: No. 1
- Calculated total energy: -43.849 eV per cell
- Energy relative to the elements: -0.150 eV per atom
- Volume: 10.2 Å³/atom
- Spin magnetization: 0.00 Bohr magnetons per cell

| no. | N(E_F) (states/eV/cell) |
| --- | --- |
| 1 | 3.44 |
| 2 | 2.52 |
| 3 | 2.68 |
| 4 | 3.64 |
| 5 | 3.24 |
| 6 | 4.90 |
| 7 | 3.36 |
| 8 | 0.96 |
| 9 | 5.36 |
| 10 | 1.85 |
| 11 | 5.55 |
| 12 | 8.16 |
| 13 | 6.64 |
| 14 | 0.89 |
| 15 | 7.05 |
| 16 | 3.20 |
| 17 | 1.65 |
| 18 | 1.99 |
| 19 | 1.94 |
| 20 | 2.18 |
| 21 | 2.90 |
| 22 | 1.91 |
| 23 | 1.68 |
| 24 | 4.47 |
| 25 | 7.48 |
| 26 | 4.70 |
| 27 | 2.75 |
| 28 | 4.92 |
| 29 | 4.22 |